No. 1
# GGA-PBE RbZnBi2, relaxed
data_RbZnBi2
_chemical_formula_sum 'Rb4 Zn4 Bi8'
_symmetry_space_group_name_H-M 'I -4 2 d'
_symmetry_Int_Tables_number 122
_symmetry_space_group_name_Hall 'I -4 2bw'
_cell_length_a 5.974
_cell_length_b 5.974
_cell_length_c 18.592
_cell_angle_alpha 90.00
_cell_angle_beta 90.00
_cell_angle_gamma 90.00
loop_
_atom_site_label
_atom_site_fract_x
_atom_site_fract_y
_atom_site_fract_z
_atom_site_occupancy
Rb1 0.000 0.000 0.000 1
Zn1 0.000 0.000 0.500 1
Bi1 0.111 0.250 0.625 1
# total DFT energy (no corrections): -40.61 eV for the cell shown

No. 2
# GGA-PBE RbZnBi, relaxed
data_RbZnBi
_chemical_formula_sum 'Rb4 Zn4 Bi4'
_symmetry_space_group_name_H-M 'P n m a'
_symmetry_Int_Tables_number 62
_symmetry_space_group_name_Hall '-P 2ac 2n'
_cell_length_a 11.562
_cell_length_b 4.572
_cell_length_c 9.229
_cell_angle_alpha 90.00
_cell_angle_beta 90.00
_cell_angle_gamma 90.00
loop_
_atom_site_label
_atom_site_fract_x
_atom_site_fract_y
_atom_site_fract_z
_atom_site_occupancy
Rb1 0.211 0.250 0.076 1
Zn1 0.025 0.250 0.426 1
Bi1 0.016 0.250 0.735 1
# total DFT energy (no corrections): -27.22 eV for the cell shown

No. 3
# GGA-PBE Rb3Zn2Bi2, relaxed
data_Rb3Zn2Bi2
_chemical_formula_sum 'Rb12 Zn8 Bi8'
_symmetry_space_group_name_H-M 'P b c m'
_symmetry_Int_Tables_number 57
_symmetry_space_group_name_Hall '-P 2c 2b'
_cell_length_a 7.089
_cell_length_b 10.186
_cell_length_c 15.041
_cell_angle_alpha 90.00
_cell_angle_beta 90.00
_cell_angle_gamma 90.00
loop_
_atom_site_label
_atom_site_fract_x
_atom_site_fract_y
_atom_site_fract_z
_atom_site_occupancy
Rb1 0.115 0.133 0.106 1
Rb2 0.324 0.718 0.750 1
Zn1 0.396 0.020 0.581 1
Bi1 0.213 0.066 0.750 1
Bi2 0.397 0.750 0.000 1
# total DFT energy (no corrections): -58.39 eV for the cell shown